(1)
Sm6AlTc2 after structural relaxation, computed with PBE.

a = 9.589 Å, b = 9.658 Å, c = 10.582 Å
α = 90.00°, β = 90.00°, γ = 90.00°
Space group Immm (No. 71)
Asymmetric unit:
Sm: 0.000 0.188 0.170 x8
Sm: 0.186 0.223 0.500 x8
Sm: 0.198 0.500 0.254 x8
Al: 0.000 0.500 0.000 x2
Al: 0.000 0.500 0.500 x2
Tc: 0.000 0.000 0.388 x4
Tc: 0.186 0.000 0.000 x4

=====

(2)
SmAl10Tc2 after structural relaxation, computed with PBE.

a = 9.157 Å, b = 10.364 Å, c = 9.247 Å
α = 90.00°, β = 90.00°, γ = 90.00°
Space group Cmcm (No. 63)
Asymmetric unit:
Sm: 0.000 0.126 0.250 x4
Al: 0.000 0.154 0.598 x8
Al: 0.000 0.376 0.039 x8
Al: 0.155 0.371 0.750 x8
Al: 0.228 0.000 0.000 x8
Al: 0.228 0.365 0.250 x8
Tc: 0.250 0.250 0.000 x8

=====

(3)
Sm2Al6Tc after structural relaxation, computed with PBE.

a = 5.8871 Å, b = 5.8871 Å, c = 5.9088 Å
α = 90.00°, β = 90.00°, γ = 120.00°
Space group P-3m1 (No. 164)
Asymmetric unit:
Sm: 0.3333 0.6667 0.1544 x2
Al: 0.1708 0.3416 0.6813 x6
Tc: 0.0000 0.0000 0.0000 x1

=====

(4)
SmAl2Tc after structural relaxation, computed with PBE.

a = 3.0964 Å, b = 3.0964 Å, c = 28.0375 Å
α = 90.00°, β = 90.00°, γ = 120.00°
Space group R-3m (No. 166, hexagonal axes)
Asymmetric unit:
Sm: 0.0000 0.0000 0.0000 x3
Al: 0.0000 0.0000 0.2343 x6
Tc: 0.0000 0.0000 0.5000 x3

=====

For the records above, the corresponding DFT total energy values read -5.96, -5.25, -5.10, -5.63 eV/atom.